<P>
Entry from Alexandria: a relaxed structure of YInSi2Ni (PBE).

Unit cell a=5.0277 b=5.0277 c=4.6522 alpha=90.00 beta=90.00 gamma=90.00
Space group P4/mmm (No. 123)
Asymmetric unit:
Y (0.0000, 0.0000, 0.0000)
In (0.5000, 0.5000, 0.5000)
Si (0.0000, 0.5000, 0.5000)
Ni (0.5000, 0.5000, 0.0000)

Values from the calculation:
Spin magnetization (μB/f.u.): 0.00



<Q>
Entry from Alexandria: a relaxed structure of YInSi2Ni (PBE).

Unit cell a=4.4643 b=4.4643 c=5.1521 alpha=90.00 beta=90.00 gamma=90.00
Space group P4/mmm (No. 123)
Asymmetric unit:
Y (0.0000, 0.0000, 0.0000)
In (0.5000, 0.5000, 0.0000)
Si (0.0000, 0.5000, 0.5000)
Ni (0.0000, 0.0000, 0.5000)

Values from the calculation:
Spin magnetization (μB/f.u.): 0.00



The most stable arrangement is <Q>, and the next structure is 0.748 eV/atom less stable.



<P>
Entry from Alexandria: a relaxed structure of InNi3Sn (PBE).

Unit cell a=4.6603 b=4.6603 c=4.6603 alpha=90.00 beta=90.00 gamma=90.00
Space group Pm-3m (No. 221)
Asymmetric unit:
In (0.0000, 0.0000, 0.0000)
Ni (0.0000, 0.5000, 0.5000)
Sn (0.5000, 0.5000, 0.5000)

Values from the calculation:
Spin magnetization (μB/f.u.): 0.00



<Q>
Entry from Alexandria: a relaxed structure of InNi3Sn (PBE).

Unit cell a=9.8022 b=7.7750 c=8.2517 alpha=90.00 beta=90.00 gamma=90.00
Space group Cmcm (No. 63)
Asymmetric unit:
In (0.0000, 0.0251, 0.2500)
In (0.0000, 0.3625, 0.7500)
Ni (0.1280, 0.1653, 0.5097)
Ni (0.1337, 0.5000, 0.0000)
Sn (0.2048, 0.3267, 0.2500)

Values from the calculation:
Spin magnetization (μB/f.u.): 0.00



The most stable arrangement is <Q>, and the next structure is 0.809 eV/atom less stable.



<P>
Entry from Alexandria: a relaxed structure of SrInNi3 (PBE).

Unit cell a=4.7920 b=4.7920 c=4.7920 alpha=90.00 beta=90.00 gamma=90.00
Space group Pm-3m (No. 221)
Asymmetric unit:
Sr (0.0000, 0.0000, 0.0000)
In (0.5000, 0.5000, 0.5000)
Ni (0.0000, 0.0000, 0.5000)

Values from the calculation:
Spin magnetization (μB/f.u.): 0.00



<Q>
Entry from Alexandria: a relaxed structure of SrInNi3 (PBE).

Unit cell a=4.8020 b=4.8020 c=4.8020 alpha=90.00 beta=90.00 gamma=90.00
Space group Pm-3m (No. 221)
Asymmetric unit:
Sr (0.0000, 0.0000, 0.0000)
In (0.5000, 0.5000, 0.5000)
Ni (0.0000, 0.5000, 0.5000)

Values from the calculation:
Spin magnetization (μB/f.u.): 0.00



The most stable arrangement is <Q>, and the next structure is 0.952 eV/atom less stable.



<P>
Entry from Alexandria: a relaxed structure of Sr4InNi (PBE).

Unit cell a=9.7915 b=9.7915 c=9.7915 alpha=90.00 beta=90.00 gamma=90.00
Space group F-43m (No. 216)
Asymmetric unit:
Sr (0.1251, 0.1251, 0.1251)
In (0.2500, 0.2500, 0.7500)
Ni (0.0000, 0.0000, 0.5000)

Values from the calculation:
Spin magnetization (μB/f.u.): 0.37



<Q>
Entry from Alexandria: a relaxed structure of Sr4InNi (PBE).

Unit cell a=4.2766 b=26.0578 c=7.9705 alpha=90.00 beta=90.00 gamma=90.00
Space group Cmcm (No. 63)
Asymmetric unit:
Sr (0.0000, 0.0000, 0.0000)
Sr (0.0000, 0.1885, 0.0172)
Sr (0.0000, 0.4006, 0.2500)
In (0.0000, 0.4123, 0.7500)
Ni (0.0000, 0.2876, 0.2500)

Values from the calculation:
Spin magnetization (μB/f.u.): 0.00



The most stable arrangement is <Q>, and the next structure is 0.761 eV/atom less stable.



<P>
Entry from Alexandria: a relaxed structure of Sr2In2Ni (PBE).

Unit cell a=12.1038 b=4.4136 c=12.0669 alpha=90.00 beta=114.84 gamma=90.00
Space group C2/m (No. 12)
Asymmetric unit:
Sr (0.0094, 0.0000, 0.1610)
Sr (0.1943, 0.0000, 0.6218)
In (0.0171, 0.5000, 0.3784)
In (0.1930, 0.5000, 0.0592)
Ni (0.1914, 0.5000, 0.8282)

Values from the calculation:
Spin magnetization (μB/f.u.): 0.00



<Q>
Entry from Alexandria: a relaxed structure of Sr2In2Ni (PBE).

Unit cell a=7.3714 b=7.3714 c=5.3608 alpha=90.00 beta=90.00 gamma=90.00
Space group P4/mbm (No. 127)
Asymmetric unit:
Sr (0.1732, 0.3268, 0.0000)
In (0.1457, 0.6457, 0.5000)
Ni (0.0000, 0.0000, 0.5000)

Values from the calculation:
Spin magnetization (μB/f.u.): 0.00



The most stable arrangement is <P>, and the next structure is 0.220 eV/atom less stable.



<P>
Entry from Alexandria: a relaxed structure of TaIn3Ni (PBE).

Unit cell a=5.3785 b=5.3785 c=5.3785 alpha=90.00 beta=90.00 gamma=90.00
Space group Pm-3m (No. 221)
Asymmetric unit:
Ta (0.0000, 0.0000, 0.0000)
In (0.0000, 0.0000, 0.5000)
Ni (0.5000, 0.5000, 0.5000)

Values from the calculation:
Spin magnetization (μB/f.u.): 1.01



<Q>
Entry from Alexandria: a relaxed structure of TaIn3Ni (PBE).

Unit cell a=4.8200 b=4.8200 c=4.8200 alpha=90.00 beta=90.00 gamma=90.00
Space group Pm-3m (No. 221)
Asymmetric unit:
Ta (0.0000, 0.0000, 0.0000)
In (0.0000, 0.5000, 0.5000)
Ni (0.5000, 0.5000, 0.5000)

Values from the calculation:
Spin magnetization (μB/f.u.): 1.27



The most stable arrangement is <Q>, and the next structure is 0.507 eV/atom less stable.



<P>
Entry from Alexandria: a relaxed structure of TaInNi4 (PBE).

Unit cell a=6.5796 b=6.5796 c=8.7415 alpha=90.00 beta=90.00 gamma=90.00
Space group I4_1/a (No. 88, origin choice 2)
Asymmetric unit:
Ta (0.0000, 0.2500, 0.1250)
In (0.0000, 0.2500, 0.6250)
Ni (0.1338, 0.1012, 0.8838)

Values from the calculation:
Spin magnetization (μB/f.u.): 0.00



<Q>
Entry from Alexandria: a relaxed structure of TaInNi4 (PBE).

Unit cell a=6.8297 b=6.8297 c=6.8297 alpha=90.00 beta=90.00 gamma=90.00
Space group F-43m (No. 216)
Asymmetric unit:
Ta (0.0000, 0.0000, 0.0000)
In (0.2500, 0.2500, 0.2500)
Ni (0.1256, 0.1256, 0.6256)

Values from the calculation:
Spin magnetization (μB/f.u.): 0.00



The most stable arrangement is <Q>, and the next structure is 0.458 eV/atom less stable.



<P>
Entry from Alexandria: a relaxed structure of TbIn3Ni8 (PBE).

Unit cell a=4.9524 b=4.9524 c=24.4493 alpha=90.00 beta=90.00 gamma=120.00
Space group R3m (No. 160, hexagonal axes)
Asymmetric unit:
Tb (0.0000, 0.0000, 0.0000)
In (0.0000, 0.0000, 0.3797)
In (0.0000, 0.0000, 0.5023)
In (0.0000, 0.0000, 0.8743)
Ni (0.0000, 0.0000, 0.1883)
Ni (0.0000, 0.0000, 0.6885)
Ni (0.9997, 0.4999, 0.9370)
Ni (0.0028, 0.5014, 0.4393)

Values from the calculation:
Spin magnetization (μB/f.u.): 0.00



<Q>
Entry from Alexandria: a relaxed structure of TbIn3Ni8 (PBE).

Unit cell a=4.9827 b=4.9827 c=8.0552 alpha=90.00 beta=90.00 gamma=120.00
Space group P3m1 (No. 156)
Asymmetric unit:
Tb (0.0000, 0.0000, 0.0000)
In (0.0000, 0.0000, 0.3787)
In (0.6667, 0.3333, 0.4878)
In (0.6667, 0.3333, 0.8600)
Ni (0.1669, 0.3339, 0.6777)
Ni (0.3333, 0.6667, 0.4265)
Ni (0.3333, 0.6667, 0.9295)
Ni (0.5008, 0.0016, 0.1825)

Values from the calculation:
Spin magnetization (μB/f.u.): 0.00



The most stable arrangement is <P>, and the next structure is 0.017 eV/atom less stable.



<P>
Entry from Alexandria: a relaxed structure of InTc3Ni (PBE).

Unit cell a=4.4729 b=4.4729 c=4.4729 alpha=90.00 beta=90.00 gamma=90.00
Space group Pm-3m (No. 221)
Asymmetric unit:
In (0.0000, 0.0000, 0.0000)
Tc (0.0000, 0.5000, 0.5000)
Ni (0.5000, 0.5000, 0.5000)

Values from the calculation:
Spin magnetization (μB/f.u.): 2.19



<Q>
Entry from Alexandria: a relaxed structure of InTc3Ni (PBE).

Unit cell a=4.7905 b=4.7905 c=4.7905 alpha=90.00 beta=90.00 gamma=90.00
Space group Pm-3m (No. 221)
Asymmetric unit:
In (0.0000, 0.0000, 0.0000)
Tc (0.0000, 0.0000, 0.5000)
Ni (0.5000, 0.5000, 0.5000)

Values from the calculation:
Spin magnetization (μB/f.u.): 0.00



The most stable arrangement is <P>, and the next structure is 1.460 eV/atom less stable.



<P>
Entry from Alexandria: a relaxed structure of InTc2Ni2 (PBE).

Unit cell a=7.3421 b=7.3421 c=2.7828 alpha=90.00 beta=90.00 gamma=90.00
Space group P4/mbm (No. 127)
Asymmetric unit:
In (0.0000, 0.0000, 0.0000)
Tc (0.1174, 0.3826, 0.0000)
Ni (0.1721, 0.6721, 0.5000)

Values from the calculation:
Spin magnetization (μB/f.u.): 0.00



<Q>
Entry from Alexandria: a relaxed structure of InTc2Ni2 (PBE).

Unit cell a=6.4658 b=6.4658 c=3.4849 alpha=90.00 beta=90.00 gamma=90.00
Space group P4/mbm (No. 127)
Asymmetric unit:
In (0.0000, 0.0000, 0.0000)
Tc (0.1531, 0.3469, 0.5000)
Ni (0.1295, 0.6295, 0.0000)

Values from the calculation:
Spin magnetization (μB/f.u.): 0.00



The most stable arrangement is <Q>, and the next structure is 0.025 eV/atom less stable.



<P>
Entry from Alexandria: a relaxed structure of InNi2Te (PBE).

Unit cell a=6.4831 b=6.4831 c=6.4831 alpha=90.00 beta=90.00 gamma=90.00
Space group Fm-3m (No. 225)
Asymmetric unit:
In (0.0000, 0.0000, 0.0000)
Ni (0.2500, 0.2500, 0.2500)
Te (0.0000, 0.0000, 0.5000)

Values from the calculation:
Spin magnetization (μB/f.u.): 0.00



<Q>
Entry from Alexandria: a relaxed structure of InNi2Te (PBE).

Unit cell a=3.2976 b=3.2976 c=6.2094 alpha=90.00 beta=90.00 gamma=90.00
Space group P4/mmm (No. 123)
Asymmetric unit:
In (0.0000, 0.0000, 0.0000)
Ni (0.5000, 0.5000, 0.2368)
Te (0.0000, 0.0000, 0.5000)

Values from the calculation:
Spin magnetization (μB/f.u.): 0.00



The most stable arrangement is <Q>, and the next structure is 0.049 eV/atom less stable.



<P>
Entry from Alexandria: a relaxed structure of InNi2Te (PBE).

Unit cell a=7.4442 b=3.4527 c=5.8207 alpha=90.00 beta=104.96 gamma=90.00
Space group C2/m (No. 12)
Asymmetric unit:
In (0.0000, 0.0000, 0.0000)
Ni (0.2471, 0.0000, 0.7397)
Te (0.0000, 0.5000, 0.5000)

Values from the calculation:
Spin magnetization (μB/f.u.): 0.00



<Q>
Entry from Alexandria: a relaxed structure of InNi2Te (PBE).

Unit cell a=3.3437 b=3.3437 c=6.8231 alpha=90.00 beta=90.00 gamma=90.00
Space group P4mm (No. 99)
Asymmetric unit:
In (0.0000, 0.0000, 0.0000)
Ni (0.0000, 0.0000, 0.3912)
Ni (0.5000, 0.5000, 0.1841)
Te (0.5000, 0.5000, 0.5508)

Values from the calculation:
Spin magnetization (μB/f.u.): 0.00



<R>
Entry from Alexandria: a relaxed structure of InNi2Te (PBE).

Unit cell a=4.5483 b=4.5483 c=15.7745 alpha=90.00 beta=90.00 gamma=90.00
Space group I-42d (No. 122)
Asymmetric unit:
In (0.0000, 0.0000, 0.0000)
Ni (0.1988, 0.2500, 0.6250)
Te (0.0000, 0.0000, 0.5000)

Values from the calculation:
Spin magnetization (μB/f.u.): 0.00



The most stable arrangement is <Q>, and the next structure is 0.087 eV/atom less stable.